The following is a DFT calculation (GGA-PBE) of crystalline PmPrNdNO2 at its relaxed geometry.

As for the total magnetization: 0.00 μB/f.u. Its total energy is -0.571 Ry/atom. The density comes out at 8.2 g/cm³.

The space group is P3m1 (No. 156) and the conventional cell measures 3.5686, 3.5686 and 8.7615 Å, with angles of 90.00, 90.00 and 120.00 degrees. The distinct sites, in fractional coordinates, are Pm at (0.0000, 0.0000, 0.0000), Pr at (0.3333, 0.6667, 0.6624), Nd at (0.6667, 0.3333, 0.3240), N at (0.3333, 0.6667, 0.1584), O at (0.0000, 0.0000, 0.4955) and O at (0.6667, 0.3333, 0.8324).